The following is a PBE calculation of a relaxed structure of MgInCu, from the Alexandria database.

Unit cell a=5.862 b=5.862 c=3.240 alpha=73.96 beta=73.95 gamma=32.08
Positions (direct):
Mg 0.646 0.646 0.354
Cu 0.004 0.004 0.996
In 0.350 0.350 0.650

Summary:
Its density of states at the Fermi level is 0.24 states/eV per atom. Its space group is I4mm, No. 107. The value obtained for the electronic total energy is -2.822 eV per atom.